No. 1
Material: NiC2
Method: DFT, PBE
State: optimized geometry

Results
polymorph energy (0 for the lowest one)	0.600	eV/atom
formation enthalpy at 0 K	3.1	eV/f.u.

POSCAR file:
```
NiC2
1.0
-1.371 2.066 2.271
1.371 -2.066 2.271
1.371 2.066 -2.271
Ni C
1 2
direct
0.000 0.000 0.000
0.339 0.500 0.839
0.661 0.500 0.161
```

=====

No. 2
Material: Dy5CdHg2
Method: DFT, PBE
State: optimized geometry

Results
formation enthalpy at 0 K	-2.3	eV/f.u.

POSCAR file:
```
Dy5CdHg2
1.0
-4.173 4.173 6.391
4.173 -4.173 6.391
4.173 4.173 -6.391
Dy Cd Hg
10 2 4
direct
0.000 0.000 0.000
0.002 0.502 0.806
0.197 0.002 0.500
0.303 0.803 0.806
0.498 0.303 0.500
0.500 0.500 0.000
0.502 0.697 0.500
0.697 0.197 0.194
0.803 0.998 0.500
0.998 0.498 0.194
0.250 0.250 0.000
0.750 0.750 0.000
0.141 0.359 0.500
0.359 0.859 0.218
0.641 0.141 0.782
0.859 0.641 0.500
```

=====

No. 3
Material: MgSi2NiC
Method: DFT, PBE
State: optimized geometry

Results
E	-24.496	eV for the cell shown

POSCAR file:
```
MgSi2NiC
1.0
4.175 0.000 0.000
0.000 4.175 0.000
0.000 0.000 3.843
Mg Si Ni C
1 2 1 1
direct
0.000 0.000 0.000
0.000 0.500 0.500
0.500 0.000 0.500
0.500 0.500 0.000
0.500 0.500 0.500
```

=====

No. 4
Material: NiMoIr
Method: DFT, PBE
State: optimized geometry

Results
polymorph energy (0 for the lowest one)	0.000	eV/atom
formation enthalpy at 0 K	-0.7	eV/f.u.

POSCAR file:
```
NiMoIr
1.0
4.656 0.000 0.000
0.000 4.352 0.000
-2.337 0.000 4.070
Ni Mo Ir
2 2 2
direct
0.154 0.250 0.499
0.846 0.750 0.501
0.499 0.750 0.815
0.501 0.250 0.185
0.168 0.750 0.174
0.832 0.250 0.826
```

=====

No. 5
Material: PmSmIr
Method: DFT, PBE
State: optimized geometry

Results
polymorph energy (0 for the lowest one)	0.072	eV/atom
formation enthalpy at 0 K	-1.5	eV/f.u.

POSCAR file:
```
PmSmIr
1.0
4.190 0.000 0.000
-2.095 3.629 0.000
0.000 0.000 6.344
Pm Sm Ir
1 1 1
direct
0.000 0.000 0.000
0.667 0.333 0.457
0.333 0.667 0.230
```

=====

No. 6
Material: LaPm2In2Ag2
Method: DFT, PBE
State: optimized geometry

Results
formation enthalpy at 0 K	-2.3	eV/f.u.

POSCAR file:
```
LaPm2In2Ag2
1.0
2.467 1.425 9.228
-2.467 1.425 9.228
0.000 -2.849 9.228
La Pm In Ag
1 2 2 2
direct
0.000 0.000 0.000
0.127 0.127 0.127
0.873 0.873 0.873
0.259 0.259 0.259
0.741 0.741 0.741
0.403 0.403 0.403
0.597 0.597 0.597
```

=====

No. 7
Material: NdGdHg
Method: DFT, PBE
State: optimized geometry

Results
polymorph energy (0 for the lowest one)	0.000	eV/atom
formation enthalpy at 0 K	-1.0	eV/f.u.

POSCAR file:
```
NdGdHg
1.0
-1.868 1.868 6.375
1.868 -1.868 6.375
1.868 1.868 -6.375
Nd Gd Hg
1 1 1
direct
0.000 0.000 0.000
0.694 0.694 0.000
0.340 0.340 0.000
```

=====

No. 8
Material: La4InSiO
Method: DFT, PBE
State: optimized geometry

Results
E	-81.332	eV for the cell shown

POSCAR file:
```
La4InSiO
1.0
3.427 -8.484 0.000
3.427 8.484 0.000
0.000 0.000 6.872
La In Si O
8 2 2 2
direct
0.000 0.500 0.000
0.000 0.500 0.500
0.063 0.937 0.750
0.420 0.580 0.750
0.500 0.000 0.000
0.500 0.000 0.500
0.580 0.420 0.250
0.937 0.063 0.250
0.390 0.610 0.250
0.610 0.390 0.750
0.119 0.881 0.250
0.881 0.119 0.750
0.257 0.743 0.750
0.743 0.257 0.250
```

=====

No. 9
Material: LaY2ThAs4
Method: DFT, PBE
State: optimized geometry

Results
formation enthalpy at 0 K	-12.3	eV/f.u.

POSCAR file:
```
LaY2ThAs4
1.0
7.273 0.000 0.000
0.000 4.226 0.000
-2.446 0.000 6.903
La Y Th As
1 2 1 4
direct
0.000 0.000 0.000
0.500 0.000 0.500
0.500 0.500 0.000
0.000 0.500 0.500
0.258 0.000 0.749
0.260 0.500 0.257
0.740 0.500 0.743
0.742 0.000 0.251
```

=====

No. 10
Material: PuZnInCu
Method: DFT, PBE
State: optimized geometry

Results
formation enthalpy at 0 K	-0.4	eV/f.u.

POSCAR file:
```
PuZnInCu
1.0
0.000 3.407 3.407
3.407 0.000 3.407
3.407 3.407 0.000
Pu Zn In Cu
1 1 1 1
direct
0.000 0.000 0.000
0.250 0.250 0.250
0.500 0.500 0.500
0.750 0.750 0.750
```

=====

No. 11
Material: Pa2PPbN5
Method: DFT, PBE
State: optimized geometry

Results
E	-151.205	eV for the cell shown

POSCAR file:
```
Pa2PPbN5
1.0
6.716 0.000 0.000
0.000 6.716 0.000
0.000 0.000 5.425
Pa P Pb N
4 2 2 10
direct
0.184 0.316 0.000
0.316 0.816 0.000
0.684 0.184 0.000
0.816 0.684 0.000
0.000 0.500 0.500
0.500 0.000 0.500
0.000 0.000 0.500
0.500 0.500 0.500
0.000 0.000 0.000
0.130 0.630 0.263
0.130 0.630 0.737
0.370 0.130 0.263
0.370 0.130 0.737
0.500 0.500 0.000
0.630 0.870 0.263
0.630 0.870 0.737
0.870 0.370 0.263
0.870 0.370 0.737
```

=====

No. 12
Material: BaNb2SbF
Method: DFT, PBE
State: optimized geometry

Results
E	-28.094	eV for the cell shown

POSCAR file:
```
BaNb2SbF
1.0
4.601 0.000 0.000
0.000 4.601 0.000
0.000 0.000 5.161
Ba Nb Sb F
1 2 1 1
direct
0.000 0.000 0.000
0.000 0.500 0.500
0.500 0.000 0.500
0.500 0.500 0.000
0.000 0.000 0.500
```

=====

No. 13
Material: CoI2Cl
Method: DFT, PBE
State: optimized geometry

Results
polymorph energy (0 for the lowest one)	0.307	eV/atom

POSCAR file:
```
CoI2Cl
1.0
-3.664 3.664 4.753
3.664 -3.664 4.753
3.664 3.664 -4.753
Co I Cl
2 4 2
direct
0.000 0.000 0.000
0.750 0.250 0.500
0.038 0.625 0.913
0.375 0.288 0.413
0.712 0.125 0.087
0.875 0.962 0.587
0.250 0.750 0.500
0.500 0.500 0.000
```

=====

No. 14
Material: SrGd2Ir
Method: DFT, PBE
State: optimized geometry

Results
polymorph energy (0 for the lowest one)	0.066	eV/atom
formation enthalpy at 0 K	-1.4	eV/f.u.

POSCAR file:
```
SrGd2Ir
1.0
3.575 0.000 0.000
0.000 3.575 0.000
0.000 0.000 9.842
Sr Gd Ir
1 2 1
direct
0.000 0.000 0.000
0.500 0.500 0.338
0.500 0.500 0.662
0.000 0.000 0.500
```

=====

No. 15
Material: Zr2PdPb
Method: DFT, PBE
State: optimized geometry

Results
formation enthalpy at 0 K	-1.4	eV/f.u.

POSCAR file:
```
Zr2PdPb
1.0
4.355 0.000 0.000
0.000 4.355 0.000
0.000 0.000 4.390
Zr Pd Pb
2 1 1
direct
0.000 0.500 0.000
0.500 0.000 0.000
0.000 0.000 0.500
0.500 0.500 0.500
```

=====

No. 16
Material: AlFeH
Method: DFT, PBE
State: optimized geometry

Results
polymorph energy (0 for the lowest one)	0.114	eV/atom

POSCAR file:
```
AlFeH
1.0
2.843 0.000 0.000
0.000 2.897 0.000
0.000 0.000 6.883
Al Fe H
2 2 2
direct
0.000 0.000 0.000
0.000 0.500 0.500
0.500 0.000 0.287
0.500 0.000 0.713
0.500 0.500 0.167
0.500 0.500 0.833
```

=====

No. 17
Material: La2ErTm8
Method: DFT, PBE
State: optimized geometry

Results
polymorph energy (0 for the lowest one)	0.000	eV/atom
formation enthalpy at 0 K	0.4	eV/f.u.

POSCAR file:
```
La2ErTm8
1.0
9.028 -2.506 0.000
9.028 2.506 0.000
-2.074 0.000 7.635
La Er Tm
2 1 8
direct
0.227 0.227 0.137
0.773 0.773 0.863
0.500 0.500 0.500
0.043 0.043 0.228
0.134 0.134 0.675
0.320 0.320 0.593
0.412 0.412 0.047
0.588 0.588 0.953
0.680 0.680 0.407
0.866 0.866 0.325
0.957 0.957 0.772
```

=====

No. 18
Material: Sc5MoN6
Method: DFT, PBE
State: optimized geometry

Results
E	-112.363	eV for the cell shown

POSCAR file:
```
Sc5MoN6
1.0
2.737 -4.734 0.000
2.737 4.734 0.000
-1.836 0.000 5.159
Sc Mo N
5 1 6
direct
0.000 0.000 0.000
0.166 0.834 0.500
0.333 0.667 0.000
0.667 0.333 0.000
0.834 0.166 0.500
0.500 0.500 0.500
0.090 0.418 0.255
0.253 0.253 0.749
0.418 0.090 0.255
0.582 0.910 0.745
0.747 0.747 0.251
0.910 0.582 0.745
```

=====

No. 19
Material: NbV3Se
Method: DFT, PBE
State: optimized geometry

Results
polymorph energy (0 for the lowest one)	0.000	eV/atom

POSCAR file:
```
NbV3Se
1.0
4.440 0.000 0.000
0.000 4.440 0.000
0.000 0.000 4.440
Nb V Se
1 3 1
direct
0.000 0.000 0.000
0.000 0.500 0.500
0.500 0.000 0.500
0.500 0.500 0.000
0.500 0.500 0.500
```

=====

No. 20
Material: Pr5Co2Ir
Method: DFT, PBE
State: optimized geometry

Results
formation enthalpy at 0 K	-1.6	eV/f.u.

POSCAR file:
```
Pr5Co2Ir
1.0
-3.709 3.709 7.340
3.709 -3.709 7.340
3.709 3.709 -7.340
Pr Co Ir
10 4 2
direct
0.000 0.000 0.000
0.037 0.537 0.858
0.179 0.037 0.500
0.321 0.821 0.858
0.463 0.321 0.500
0.500 0.500 0.000
0.537 0.679 0.500
0.679 0.179 0.142
0.821 0.963 0.500
0.963 0.463 0.142
0.109 0.391 0.500
0.391 0.891 0.282
0.609 0.109 0.718
0.891 0.609 0.500
0.250 0.250 0.000
0.750 0.750 0.000
```